(1)
Crystalline Ir6PdRh12 at its relaxed geometry. Source: Alexandria, functional PBE.

Summary:
Total energy   -7.496 eV/atom
Space-group type   R-3, No. 148

Lattice parameters (Å, degrees): 6.571 6.571 6.571 89.72 89.72 89.72
Element x y z (fractional)
Rh  0.568  0.199  0.483
Rh  0.037  0.161  0.376
Rh  0.839  0.624  0.963
Rh  0.801  0.517  0.432
Rh  0.432  0.801  0.517
Rh  0.376  0.037  0.161
Rh  0.517  0.432  0.801
Rh  0.963  0.839  0.624
Rh  0.199  0.483  0.568
Rh  0.483  0.568  0.199
Rh  0.624  0.963  0.839
Rh  0.161  0.376  0.037
Ir  0.738  0.889  0.286
Ir  0.262  0.111  0.714
Ir  0.111  0.714  0.262
Ir  0.889  0.286  0.738
Ir  0.714  0.262  0.111
Ir  0.286  0.738  0.889
Pd  0.000  0.000  0.000

***

(2)
Crystalline IrPd2Rh at its relaxed geometry. Source: Alexandria, functional PBE.

Summary:
Distance to the lowest polymorph of the same formula   583 meV per atom
Total energy   -6.008 eV/atom
Space-group type   I-42d, No. 122

Lattice parameters (Å, degrees): 7.009 7.009 5.626 51.47 51.47 90.00
Element x y z (fractional)
Rh  0.250  0.750  0.500
Rh  0.500  0.500  0.000
Ir  0.750  0.250  0.500
Ir  0.000  0.000  0.000
Pd  0.629  0.125  0.250
Pd  0.121  0.625  0.250
Pd  0.875  0.879  0.750
Pd  0.375  0.371  0.750

***

(3)
Crystalline IrPdRh at its relaxed geometry. Source: Alexandria, functional PBE.

Summary:
Distance to the lowest polymorph of the same formula   39 meV per atom
Total energy   -7.084 eV/atom
Space-group type   P3m1, No. 156

Lattice parameters (Å, degrees): 2.742 2.742 6.748 90.00 90.00 120.00
Element x y z (fractional)
Pd  0.000  0.000  0.001
Ir  0.667  0.333  0.339
Rh  0.333  0.667  0.660

***

(4)
Crystalline IrPdRh at its relaxed geometry. Source: Alexandria, functional PBE.

Summary:
Distance to the lowest polymorph of the same formula   0 meV per atom
Total energy   -7.124 eV/atom
Space-group type   P-3m1, No. 164

Lattice parameters (Å, degrees): 2.744 2.744 13.505 90.00 90.00 120.00
Element x y z (fractional)
Pd  0.667  0.333  0.586
Pd  0.333  0.667  0.414
Rh  0.000  0.000  0.244
Rh  0.000  0.000  0.756
Ir  0.667  0.333  0.082
Ir  0.333  0.667  0.918

***

(5)
Crystalline Ir2PdRh6 at its relaxed geometry. Source: Alexandria, functional PBE.

Summary:
Total energy   -7.272 eV/atom
Space-group type   Immm, No. 71

Lattice parameters (Å, degrees): 2.710 13.402 7.764 149.67 100.05 90.00
Element x y z (fractional)
Rh  0.675  0.851  0.350
Rh  0.325  0.149  0.650
Rh  0.500  0.145  0.000
Rh  0.500  0.855  0.000
Rh  0.675  0.499  0.350
Rh  0.325  0.501  0.650
Ir  0.178  0.178  0.357
Ir  0.822  0.822  0.643
Pd  0.000  0.500  0.000

***

(6)
Crystalline IrPd2Rh at its relaxed geometry. Source: Alexandria, functional PBE.

Summary:
Distance to the lowest polymorph of the same formula   84 meV per atom
Total energy   -6.507 eV/atom
Space-group type   P4/mmm, No. 123

Lattice parameters (Å, degrees): 3.881 3.903 3.903 90.00 90.00 90.00
Element x y z (fractional)
Ir  0.500  0.000  0.000
Pd  0.000  0.500  0.000
Pd  0.000  0.000  0.500
Rh  0.500  0.500  0.500

***

Calculated values (eV per atom) of E_form for the records, taken in order: 0.22; 0.64; 0.05; 0.01; 0.17; 0.14.
Calculated values (Å³/atom) of volume for the records, taken in order: 14.930; 16.346; 14.642; 14.672; 14.847; 14.778.